# HfZn2In | the Alexandria database | PBE | optimized geometry
# Spin magnetization: 0.0 μB per cell
# D(E_F): 0.91 states/eV/atom
# Calculated volume: 20.3 Å³/atom
data_HfZn2In
_chemical_formula_sum 'Hf4 Zn8 In4'
_space_group_name_H-M_alt 'I -4 2 d'
_space_group_IT_number 122
_space_group_name_Hall 'I -4 2bw'
_cell_length_a 7.447
_cell_length_b 7.447
_cell_length_c 5.845
_cell_angle_alpha 90.00
_cell_angle_beta 90.00
_cell_angle_gamma 90.00
loop_
_atom_site_label
_atom_site_type_symbol
_atom_site_fract_x
_atom_site_fract_y
_atom_site_fract_z
Hf1 Hf 0.000 0.000 0.000
Zn1 Zn 0.242 0.250 0.625
In1 In 0.000 0.000 0.500

# Nd5Sm3Er4 | the Alexandria database | PBE | optimized geometry
# Spin magnetization: 0.0 μB per cell
# D(E_F): 1.19 states/eV/atom
# Calculated volume: 34.2 Å³/atom
data_Nd5Sm3Er4
_chemical_formula_sum 'Nd10 Sm6 Er8'
_space_group_name_H-M_alt 'C 1 2/m 1'
_space_group_IT_number 12
_cell_length_a 18.282
_cell_length_b 5.802
_cell_length_c 8.815
_cell_angle_alpha 90.00
_cell_angle_beta 118.63
_cell_angle_gamma 90.00
loop_
_space_group_symop_operation_xyz
'x,y,z'
'-x,-y,-z'
'-x,y,-z'
'x,-y,z'
'x+1/2,y+1/2,z'
'-x+1/2,-y+1/2,-z'
'-x+1/2,y+1/2,-z'
'x+1/2,-y+1/2,z'
loop_
_atom_site_label
_atom_site_type_symbol
_atom_site_fract_x
_atom_site_fract_y
_atom_site_fract_z
Nd1 Nd 0.000 0.000 0.000
Nd2 Nd 0.108 0.500 0.428
Nd3 Nd 0.159 0.500 0.886
Sm1 Sm 0.000 0.500 0.000
Sm2 Sm 0.184 0.000 0.215
Er1 Er 0.031 0.000 0.697
Er2 Er 0.202 0.000 0.646

# LaZnRe2 | the Alexandria database | PBE | optimized geometry
# Spin magnetization: 0.0 μB per cell
# D(E_F): 0.87 states/eV/atom
# Calculated volume: 19.8 Å³/atom
data_LaZnRe2
_chemical_formula_sum 'La1 Zn1 Re2'
_space_group_name_H-M_alt 'P 1 m 1'
_space_group_IT_number 6
_cell_length_a 2.961
_cell_length_b 4.243
_cell_length_c 6.380
_cell_angle_alpha 90.00
_cell_angle_beta 99.03
_cell_angle_gamma 90.00
loop_
_space_group_symop_operation_xyz
'x,y,z'
'x,-y,z'
loop_
_atom_site_label
_atom_site_type_symbol
_atom_site_fract_x
_atom_site_fract_y
_atom_site_fract_z
La1 La 0.000 0.000 0.000
Zn1 Zn 0.385 0.500 0.712
Re1 Re 0.407 0.000 0.462
Re2 Re 0.747 0.500 0.345

Result set for ΔH_f (0 K): 0.192; 0.245; 0.280 eV per atom, one per record in the order listed.
Result set for electronic total energy: -57.88; -106.63; -29.98 eV for the cell shown, one per record in the order listed.